(1)
10
Lattice="7.3221 0.0000 0.0000 0.0000 7.3221 0.0000 0.0000 0.0000 2.5846" Properties=species:S:1:pos:R:3 comment="Li2SiP2, relaxed, DFT GGA-PBE" formation_energy_uncorrected_ev_per_atom=-0.2228 relative_energy_mev_per_atom=294.9 mass_density_g_cm3=2.49 energy_ev_per_atom=-4.237 pbc="T T T"
Li 0.8403 2.8208 0.0000
Li 2.8208 6.4818 0.0000
Li 4.5013 0.8403 0.0000
Li 6.4818 4.5013 0.0000
Si 0.0000 0.0000 1.2923
Si 3.6610 3.6610 1.2923
P 1.3506 5.0116 1.2923
P 2.3105 1.3506 1.2923
P 5.0116 5.9715 1.2923
P 5.9715 2.3105 1.2923

***

(2)
8
Lattice="2.5404 1.4667 9.4629 -2.5404 1.4667 9.4629 0.0000 -2.9334 9.4629" Properties=species:S:1:pos:R:3 comment="LaEr2InHg4, relaxed, DFT GGA-PBE" mass_density_g_cm3=10.92 delta_e_f_ev_per_atom=-0.40 energy_ev_per_atom=-2.651 pbc="T T T"
La 0.0000 0.0000 0.0000
Er 0.0000 0.0000 6.7033
Er 0.0000 0.0000 21.6854
In 0.0000 0.0000 14.1943
Hg 0.0000 0.0000 3.4612
Hg 0.0000 0.0000 10.9168
Hg 0.0000 0.0000 17.4719
Hg 0.0000 0.0000 24.9275

***

(3)
12
Lattice="5.5765 0.0000 0.0000 0.0000 5.5765 0.0000 0.0000 0.0000 5.5765" Properties=species:S:1:pos:R:3 comment="LiMnTc, relaxed, DFT GGA-PBE" relative_energy_mev_per_atom=491.9 mass_density_g_cm3=6.12 delta_e_f_ev_per_atom=0.70 energy_ev_per_atom=-6.448 pbc="T T T"
Li 0.0000 0.0000 0.0000
Li 0.0000 2.7882 2.7882
Li 2.7882 0.0000 2.7882
Li 2.7882 2.7882 0.0000
Mn 1.3941 1.3941 4.1824
Mn 1.3941 4.1824 1.3941
Mn 4.1824 1.3941 1.3941
Mn 4.1824 4.1824 4.1824
Tc 0.0000 0.0000 2.7882
Tc 0.0000 2.7882 0.0000
Tc 2.7882 0.0000 0.0000
Tc 2.7882 2.7882 2.7882

***

(4)
10
Lattice="12.9278 0.0000 0.0000 0.0000 4.4345 0.0000 -0.3873 0.0000 2.7051" Properties=species:S:1:pos:R:3 comment="VMo2W2, relaxed, DFT GGA-PBE" relative_energy_mev_per_atom=0.0 mass_density_g_cm3=13.07 delta_e_f_ev_per_atom=-0.08 energy_ev_per_atom=-11.420 pbc="T T T"
V 0.0000 0.0000 0.0000
V 6.4639 2.2173 0.0000
Mo 1.1177 2.2173 1.0757
Mo 4.9588 0.0000 1.6293
Mo 7.5816 0.0000 1.0757
Mo 11.4227 2.2173 1.6293
W 2.2516 0.0000 2.1483
W 3.8249 2.2173 0.5567
W 8.7155 2.2173 2.1483
W 10.2888 0.0000 0.5567

***

(5)
20
Lattice="5.7159 -5.7901 0.0000 5.7159 5.7901 0.0000 0.0000 0.0000 6.9961" Properties=species:S:1:pos:R:3 comment="ErSc6Al3, relaxed, DFT GGA-PBE" mass_density_g_cm3=3.71 delta_e_f_ev_per_atom=-0.14 energy_ev_per_atom=-5.517 pbc="T T T"
Er 5.7159 3.2552 3.4980
Er 5.7159 -3.2552 0.0000
Sc 3.3457 2.3057 5.6573
Sc 2.3471 0.3496 3.4791
Sc 5.7159 3.4168 0.2144
Sc 2.3471 -0.3496 6.9772
Sc 5.7159 0.2334 6.3909
Sc 3.3457 -2.3057 2.1593
Sc 8.0861 2.3057 5.6573
Sc 5.7159 -0.2334 2.8929
Sc 9.0847 0.3496 3.4791
Sc 5.7159 -3.4168 3.7124
Sc 9.0847 -0.3496 6.9772
Sc 8.0861 -2.3057 2.1593
Al 5.7159 5.7097 5.3248
Al 4.0693 1.4054 1.3575
Al 4.0693 -1.4054 4.8555
Al 7.3626 1.4054 1.3575
Al 7.3626 -1.4054 4.8555
Al 5.7159 -5.7097 1.8267